i.
## CeYBi2 (GGA-PBE)

Data for a geometry-optimized CeYBi2 structure.

POSCAR file:
```
CeYBi2
1.0
3.431 0.000 0.000
0.000 5.885 0.000
0.000 0.000 5.885
Bi Ce Y
2 1 1
Direct
0.000 0.000 0.500 Bi
0.000 0.500 0.000 Bi
0.500 0.500 0.500 Ce
0.500 0.000 0.000 Y
```

Values from the calculation:
Theoretical density = 9.0 g cm⁻³

---

ii.
## CeYBi2 (GGA-PBE)

Data for a geometry-optimized CeYBi2 structure.

POSCAR file:
```
CeYBi2
1.0
4.547 0.000 0.000
2.274 3.938 0.000
2.274 1.313 7.407
Bi Ce Y
2 1 1
Direct
0.252 0.252 0.244 Bi
0.748 0.748 0.756 Bi
0.500 0.500 0.500 Ce
0.000 0.000 0.000 Y
```

Values from the calculation:
Theoretical density = 8.1 g cm⁻³

---

Computed energies relative to the best structure, in meV per atom: i 195; ii 0

---

i.
## CeYBi2 (GGA-PBE)

Data for a geometry-optimized CeYBi2 structure.

POSCAR file:
```
CeYBi2
1.0
-0.616 -7.073 -3.393
1.883 -0.888 7.583
-9.456 3.713 0.064
Bi Y Ce
8 4 4
Direct
0.067 0.321 0.125 Bi
0.686 0.439 0.375 Bi
0.558 0.804 0.125 Bi
0.189 0.936 0.375 Bi
0.933 0.679 0.875 Bi
0.314 0.561 0.625 Bi
0.442 0.196 0.875 Bi
0.811 0.064 0.625 Bi
0.561 0.311 0.622 Y
0.186 0.436 0.872 Y
0.439 0.689 0.378 Y
0.814 0.564 0.128 Y
0.689 0.939 0.878 Ce
0.311 0.061 0.122 Ce
0.064 0.814 0.628 Ce
0.936 0.186 0.372 Ce
```

Values from the calculation:
Theoretical density = 8.1 g cm⁻³

---

ii.
## CeYBi2 (GGA-PBE)

Data for a geometry-optimized CeYBi2 structure.

POSCAR file:
```
CeYBi2
1.0
-3.175 2.000 -2.503
-4.356 -0.917 0.728
-2.877 6.138 4.491
Ce Bi Y
1 2 1
Direct
0.669 0.669 0.993 Ce
0.250 0.250 0.251 Bi
0.084 0.084 0.748 Bi
0.498 0.498 0.507 Y
```

Values from the calculation:
Theoretical density = 7.9 g cm⁻³

---

Computed energies relative to the best structure, in meV per atom: i 0; ii 107

---

i.
## CeY2Bi (GGA-PBE)

Data for a geometry-optimized CeY2Bi structure.

POSCAR file:
```
CeY2Bi
1.0
3.611 0.000 0.000
1.806 3.128 0.000
1.806 1.043 10.871
Bi Y Ce
1 2 1
Direct
0.000 0.000 0.000 Bi
0.253 0.253 0.240 Y
0.747 0.747 0.760 Y
0.500 0.500 0.500 Ce
```

Values from the calculation:
Theoretical density = 7.1 g cm⁻³

---

ii.
## CeY2Bi (GGA-PBE)

Data for a geometry-optimized CeY2Bi structure.

POSCAR file:
```
CeY2Bi
1.0
-0.685 -3.897 2.527
3.290 -2.410 -2.826
3.643 1.359 3.082
Y Bi Ce
2 1 1
Direct
0.000 0.000 0.500 Y
0.000 0.500 0.000 Y
0.500 0.000 0.000 Bi
0.500 0.500 0.500 Ce
```

Values from the calculation:
Theoretical density = 7.6 g cm⁻³

---

iii.
## CeY2Bi (GGA-PBE)

Data for a geometry-optimized CeY2Bi structure.

POSCAR file:
```
CeY2Bi
1.0
-0.929 2.691 2.808
0.137 -2.862 2.788
7.193 1.376 1.060
Ce Y Bi
1 2 1
Direct
0.500 0.500 0.500 Ce
0.000 0.000 0.229 Y
0.000 0.000 0.771 Y
0.500 0.500 0.000 Bi
```

Values from the calculation:
Theoretical density = 7.4 g cm⁻³

---

iv.
## CeY2Bi (GGA-PBE)

Data for a geometry-optimized CeY2Bi structure.

POSCAR file:
```
CeY2Bi
1.0
-1.733 0.289 3.175
-3.624 -0.145 0.108
-1.315 -10.805 2.338
Y Bi Ce
2 1 1
Direct
0.254 0.254 0.236 Y
0.079 0.079 0.763 Y
0.667 0.667 0.000 Bi
0.500 0.500 0.501 Ce
```

Values from the calculation:
Theoretical density = 7.0 g cm⁻³

---

Computed energies relative to the best structure, in meV per atom: i 161; ii 0; iii 19; iv 192

---

i.
## CeZr2Bi (GGA-PBE)

Data for a geometry-optimized CeZr2Bi structure.

POSCAR file:
```
CeZr2Bi
1.0
-0.815 2.452 3.389
-4.695 -0.496 -0.770
-0.049 -3.881 2.796
Bi Zr Ce
1 2 1
Direct
0.500 0.500 0.500 Bi
0.000 0.000 0.500 Zr
0.000 0.500 0.000 Zr
0.500 0.000 0.000 Ce
```

Values from the calculation:
Theoretical density = 9.1 g cm⁻³

---

ii.
## CeZr2Bi (GGA-PBE)

Data for a geometry-optimized CeZr2Bi structure.

POSCAR file:
```
CeZr2Bi
1.0
5.150 0.000 0.000
2.575 4.460 0.000
2.575 1.487 4.194
Zr Ce Bi
2 1 1
Direct
0.241 0.241 0.276 Zr
0.759 0.759 0.724 Zr
0.000 0.000 0.000 Ce
0.500 0.500 0.500 Bi
```

Values from the calculation:
Theoretical density = 9.2 g cm⁻³

---

Computed energies relative to the best structure, in meV per atom: i 0; ii 172

---

i.
## CoBi2Cl (GGA-PBE)

Data for a geometry-optimized CoBi2Cl structure.

POSCAR file:
```
CoBi2Cl
1.0
-2.692 1.855 -5.422
-5.461 -2.646 1.806
-5.786 4.965 0.875
Bi Co Cl
4 2 2
Direct
0.718 0.125 0.250 Bi
0.875 0.968 0.750 Bi
0.375 0.282 0.750 Bi
0.032 0.625 0.250 Bi
0.000 0.000 0.000 Co
0.750 0.250 0.500 Co
0.250 0.750 0.500 Cl
0.500 0.500 0.000 Cl
```

Values from the calculation:
Theoretical density = 6.8 g cm⁻³

---

ii.
## CoBi2Cl (GGA-PBE)

Data for a geometry-optimized CoBi2Cl structure.

POSCAR file:
```
CoBi2Cl
1.0
-2.014 2.557 3.808
-2.705 4.120 -0.901
-4.959 -0.054 0.709
Cl Co Bi
1 1 2
Direct
0.000 0.000 0.000 Cl
0.500 0.500 0.500 Co
0.750 0.750 0.750 Bi
0.250 0.250 0.250 Bi
```

Values from the calculation:
Theoretical density = 9.6 g cm⁻³

---

Computed energies relative to the best structure, in meV per atom: i 0; ii 264

---

i.
## Co3BiCl (GGA-PBE)

Data for a geometry-optimized Co3BiCl structure.

POSCAR file:
```
Co3BiCl
1.0
5.043 0.000 0.000
0.000 5.043 0.000
0.000 0.000 5.043
Co Cl Bi
3 1 1
Direct
0.500 0.000 0.000 Co
0.000 0.000 0.500 Co
0.000 0.500 0.000 Co
0.500 0.500 0.500 Cl
0.000 0.000 0.000 Bi
```

Values from the calculation:
Theoretical density = 5.5 g cm⁻³

---

ii.
## Co3BiCl (GGA-PBE)

Data for a geometry-optimized Co3BiCl structure.

POSCAR file:
```
Co3BiCl
1.0
-1.403 4.026 -0.122
-3.927 -1.338 0.994
0.900 0.439 4.146
Co Cl Bi
3 1 1
Direct
0.000 0.000 0.500 Co
0.000 0.500 0.000 Co
0.500 0.000 0.000 Co
0.000 0.000 0.000 Cl
0.500 0.500 0.500 Bi
```

Values from the calculation:
Theoretical density = 9.0 g cm⁻³

---

Computed energies relative to the best structure, in meV per atom: i 611; ii 0

---

i.
## CoBiCl3 (GGA-PBE)

Data for a geometry-optimized CoBiCl3 structure.

POSCAR file:
```
CoBiCl3
1.0
5.508 0.000 0.000
0.000 5.508 0.000
0.000 0.000 5.508
Bi Cl Co
1 3 1
Direct
0.000 0.000 0.000 Bi
0.500 0.000 0.000 Cl
0.000 0.000 0.500 Cl
0.000 0.500 0.000 Cl
0.500 0.500 0.500 Co
```

Values from the calculation:
Theoretical density = 3.7 g cm⁻³

---

ii.
## CoBiCl3 (GGA-PBE)

Data for a geometry-optimized CoBiCl3 structure.

POSCAR file:
```
CoBiCl3
1.0
4.779 0.000 0.000
0.000 4.779 0.000
0.000 0.000 4.779
Cl Co Bi
3 1 1
Direct
0.000 0.500 0.000 Cl
0.500 0.000 0.000 Cl
0.000 0.000 0.500 Cl
0.000 0.000 0.000 Co
0.500 0.500 0.500 Bi
```

Values from the calculation:
Theoretical density = 5.7 g cm⁻³

---

Computed energies relative to the best structure, in meV per atom: i 390; ii 0

---

i.
## CoBi3Cl (GGA-PBE)

Data for a geometry-optimized CoBi3Cl structure.

POSCAR file:
```
CoBi3Cl
1.0
5.177 0.000 0.000
0.000 5.177 0.000
0.000 0.000 5.177
Bi Cl Co
3 1 1
Direct
0.000 0.000 0.500 Bi
0.500 0.000 0.000 Bi
0.000 0.500 0.000 Bi
0.500 0.500 0.500 Cl
0.000 0.000 0.000 Co
```

Values from the calculation:
Theoretical density = 8.6 g cm⁻³

---

ii.
## CoBi3Cl (GGA-PBE)

Data for a geometry-optimized CoBi3Cl structure.

POSCAR file:
```
CoBi3Cl
1.0
-0.209 2.693 4.660
-5.366 0.255 -0.388
-0.415 -4.658 2.673
Cl Bi Co
1 3 1
Direct
0.000 0.000 0.000 Cl
0.500 0.000 0.000 Bi
0.000 0.500 0.000 Bi
0.000 0.000 0.500 Bi
0.500 0.500 0.500 Co
```

Values from the calculation:
Theoretical density = 7.7 g cm⁻³

---

Computed energies relative to the best structure, in meV per atom: i 0; ii 1014